1.
This record from Alexandria describes an optimized crystal structure of Sm12AgRu6. The functional is PBE.

Output
Total DFT energy (no corrections): -118.9 eV per cell
ΔH_f (0 K): -0.197 eV per atom

Unit cell a=8.673 b=8.673 c=8.673 alpha=109.47 beta=109.47 gamma=109.47
Atoms (fractional coordinates):
Sm: 0.297 0.101 0.804
Sm: 0.297 0.493 0.196
Sm: 0.703 0.507 0.804
Sm: 0.703 0.899 0.196
Sm: 0.101 0.804 0.297
Sm: 0.493 0.196 0.297
Sm: 0.507 0.804 0.703
Sm: 0.899 0.196 0.703
Sm: 0.804 0.297 0.101
Sm: 0.196 0.297 0.493
Sm: 0.804 0.703 0.507
Sm: 0.196 0.703 0.899
Ag: 0.000 0.000 0.000
Ru: 0.377 0.500 0.877
Ru: 0.623 0.500 0.123
Ru: 0.500 0.877 0.377
Ru: 0.500 0.123 0.623
Ru: 0.877 0.377 0.500
Ru: 0.123 0.623 0.500

***

2.
This record from Alexandria describes an optimized crystal structure of Sm2AgRu. The functional is PBE.

Output
Total DFT energy (no corrections): -22.8 eV per cell
ΔH_f (0 K): -0.304 eV per atom

Unit cell a=3.487 b=3.487 c=7.670 alpha=90.00 beta=90.00 gamma=90.00
Atoms (fractional coordinates):
Ru: 0.500 0.500 0.000
Ag: 0.500 0.500 0.500
Sm: 0.000 0.000 0.777
Sm: 0.000 0.000 0.223

***

3.
This record from Alexandria describes an optimized crystal structure of Sm6Ag3Ru. The functional is PBE.

Output
Total DFT energy (no corrections): -95.2 eV per cell
ΔH_f (0 K): -0.143 eV per atom

Unit cell a=7.171 b=7.970 c=10.374 alpha=90.00 beta=83.14 gamma=90.00
Atoms (fractional coordinates):
Sm: 0.680 0.162 0.942
Sm: 0.637 0.191 0.568
Sm: 0.673 0.451 0.254
Sm: 0.327 0.549 0.746
Sm: 0.363 0.809 0.432
Sm: 0.320 0.838 0.058
Sm: 0.180 0.338 0.442
Sm: 0.137 0.309 0.068
Sm: 0.173 0.049 0.754
Sm: 0.827 0.951 0.246
Sm: 0.863 0.691 0.932
Sm: 0.820 0.662 0.558
Ag: 0.562 0.878 0.762
Ag: 0.500 0.500 0.000
Ag: 0.438 0.122 0.238
Ag: 0.062 0.622 0.262
Ag: 0.000 0.000 0.500
Ag: 0.938 0.378 0.738
Ru: 0.500 0.500 0.500
Ru: 0.000 0.000 0.000

***

4.
This record from Alexandria describes an optimized crystal structure of Sm6AgRu2. The functional is PBE.

Output
Total DFT energy (no corrections): -103.7 eV per cell
ΔH_f (0 K): -0.239 eV per atom
Excess energy over the best structure of this formula in the dataset: 0 meV per atom

Unit cell a=8.597 b=8.597 c=8.597 alpha=104.63 beta=111.47 gamma=112.42
Atoms (fractional coordinates):
Sm: 0.536 0.717 0.819
Sm: 0.464 0.283 0.181
Sm: 0.102 0.283 0.819
Sm: 0.898 0.717 0.181
Sm: 0.802 0.761 0.564
Sm: 0.198 0.239 0.436
Sm: 0.198 0.761 0.959
Sm: 0.802 0.239 0.041
Sm: 0.686 0.357 0.672
Sm: 0.314 0.643 0.328
Sm: 0.314 0.986 0.672
Sm: 0.686 0.014 0.328
Ag: 0.000 0.500 0.500
Ag: 0.000 0.000 0.000
Ru: 0.500 0.375 0.875
Ru: 0.500 0.625 0.125
Ru: 0.678 0.000 0.678
Ru: 0.322 0.000 0.322